# 1
Density functional theory data (PBE) for a relaxed Si2Pb2F crystal.

Energy relative to the lowest polymorph listed for this composition in meV/atom: 0
SG: I4/mmm, No. 139
Density of states at the Fermi level in states/eV per cell: 0.937

Lattice parameters (Å, degrees): 8.4695 8.4695 8.4695 154.92 154.92 35.77
Closest atoms and distances in Å follow each position.
Atoms (fractional coordinates):
1 Si 0.2500 0.7500 0.5000  4 Si 2.60
2 Si 0.7500 0.2500 0.5000  4 Si 2.60
3 Pb 0.1050 0.1050 0.0000  4 Si 2.97, 4 F 3.10
4 Pb 0.8950 0.8950 0.0000  4 Si 2.97, 4 F 3.10
5 F 0.5000 0.5000 0.0000  8 Pb 3.10

# 2
Density functional theory data (PBE) for a relaxed In12Ge3Sb5 crystal.

Total DFT energy (no corrections) in eV/cell: -259.17
SG: Ia-3d, No. 230
Density of states at the Fermi level in states/eV per cell: 25.090

Lattice parameters (Å, degrees): 14.9360 14.9360 14.9360 109.47 109.47 109.47
Closest atoms and distances in Å follow each position.
Atoms (fractional coordinates):
1 In 0.0676 0.2363 0.1395  2 Sb 2.89-3.02, 1 Ge 2.95, 1 In 3.07
2 In 0.0676 0.3313 0.9281  2 Sb 2.89-3.02, 1 Ge 2.95, 1 In 3.07
3 In 0.0719 0.6395 0.4032  2 Sb 2.89-3.02, 1 Ge 2.95, 1 In 3.07
4 In 0.0719 0.9324 0.6687  2 Sb 2.89-3.02, 1 Ge 2.95, 1 In 3.07
5 In 0.0968 0.7363 0.6687  2 Sb 2.89-3.02, 1 Ge 2.95, 1 In 3.07
6 In 0.0968 0.8605 0.4281  2 Sb 2.89-3.02, 1 Ge 2.95, 1 In 3.07
7 In 0.1395 0.0676 0.2363  2 Sb 2.89-3.02, 1 Ge 2.95, 1 In 3.07
8 In 0.1395 0.5719 0.9032  2 Sb 2.89-3.02, 1 Ge 2.95, 1 In 3.07
9 In 0.1687 0.2363 0.5968  2 Sb 2.89-3.02, 1 Ge 2.95, 1 In 3.07
10 In 0.1687 0.4324 0.5719  2 Sb 2.89-3.02, 1 Ge 2.95, 1 In 3.07
11 In 0.2363 0.1395 0.0676  2 Sb 2.89-3.02, 1 Ge 2.95, 1 In 3.07
12 In 0.2363 0.5968 0.1687  2 Sb 2.89-3.02, 1 Ge 2.95, 1 In 3.07
13 In 0.2637 0.3313 0.9032  2 Sb 2.89-3.02, 1 Ge 2.95, 1 In 3.07
14 In 0.2637 0.4324 0.3605  2 Sb 2.89-3.02, 1 Ge 2.95, 1 In 3.07
15 In 0.3313 0.9032 0.2637  2 Sb 2.89-3.02, 1 Ge 2.95, 1 In 3.07
16 In 0.3313 0.9281 0.0676  2 Sb 2.89-3.02, 1 Ge 2.95, 1 In 3.07
17 In 0.3605 0.2637 0.4324  2 Sb 2.89-3.02, 1 Ge 2.95, 1 In 3.07
18 In 0.3605 0.5968 0.9281  2 Sb 2.89-3.02, 1 Ge 2.95, 1 In 3.07
19 In 0.4032 0.0719 0.6395  2 Sb 2.89-3.02, 1 Ge 2.95, 1 In 3.07
20 In 0.4032 0.8313 0.7637  2 Sb 2.89-3.02, 1 Ge 2.95, 1 In 3.07
21 In 0.4281 0.0968 0.8605  2 Sb 2.89-3.02, 1 Ge 2.95, 1 In 3.07
22 In 0.4281 0.8313 0.5676  2 Sb 2.89-3.02, 1 Ge 2.95, 1 In 3.07
23 In 0.4324 0.3605 0.2637  2 Sb 2.89-3.02, 1 Ge 2.95, 1 In 3.07
24 In 0.4324 0.5719 0.1687  2 Sb 2.89-3.02, 1 Ge 2.95, 1 In 3.07
25 In 0.5676 0.4281 0.8313  2 Sb 2.89-3.02, 1 Ge 2.95, 1 In 3.07
26 In 0.5676 0.6395 0.7363  2 Sb 2.89-3.02, 1 Ge 2.95, 1 In 3.07
27 In 0.5719 0.1687 0.4324  2 Sb 2.89-3.02, 1 Ge 2.95, 1 In 3.07
28 In 0.5719 0.9032 0.1395  2 Sb 2.89-3.02, 1 Ge 2.95, 1 In 3.07
29 In 0.5968 0.1687 0.2363  2 Sb 2.89-3.02, 1 Ge 2.95, 1 In 3.07
30 In 0.5968 0.9281 0.3605  2 Sb 2.89-3.02, 1 Ge 2.95, 1 In 3.07
31 In 0.6395 0.4032 0.0719  2 Sb 2.89-3.02, 1 Ge 2.95, 1 In 3.07
32 In 0.6395 0.7363 0.5676  2 Sb 2.89-3.02, 1 Ge 2.95, 1 In 3.07
33 In 0.6687 0.0719 0.9324  2 Sb 2.89-3.02, 1 Ge 2.95, 1 In 3.07
34 In 0.6687 0.0968 0.7363  2 Sb 2.89-3.02, 1 Ge 2.95, 1 In 3.07
35 In 0.7363 0.5676 0.6395  2 Sb 2.89-3.02, 1 Ge 2.95, 1 In 3.07
36 In 0.7363 0.6687 0.0968  2 Sb 2.89-3.02, 1 Ge 2.95, 1 In 3.07
37 In 0.7637 0.4032 0.8313  2 Sb 2.89-3.02, 1 Ge 2.95, 1 In 3.07
38 In 0.7637 0.8605 0.9324  2 Sb 2.89-3.02, 1 Ge 2.95, 1 In 3.07
39 In 0.8313 0.5676 0.4281  2 Sb 2.89-3.02, 1 Ge 2.95, 1 In 3.07
40 In 0.8313 0.7637 0.4032  2 Sb 2.89-3.02, 1 Ge 2.95, 1 In 3.07
41 In 0.8605 0.4281 0.0968  2 Sb 2.89-3.02, 1 Ge 2.95, 1 In 3.07
42 In 0.8605 0.9324 0.7637  2 Sb 2.89-3.02, 1 Ge 2.95, 1 In 3.07
43 In 0.9032 0.1395 0.5719  2 Sb 2.89-3.02, 1 Ge 2.95, 1 In 3.07
44 In 0.9032 0.2637 0.3313  2 Sb 2.89-3.02, 1 Ge 2.95, 1 In 3.07
45 In 0.9281 0.0676 0.3313  2 Sb 2.89-3.02, 1 Ge 2.95, 1 In 3.07
46 In 0.9281 0.3605 0.5968  2 Sb 2.89-3.02, 1 Ge 2.95, 1 In 3.07
47 In 0.9324 0.6687 0.0719  2 Sb 2.89-3.02, 1 Ge 2.95, 1 In 3.07
48 In 0.9324 0.7637 0.8605  2 Sb 2.89-3.02, 1 Ge 2.95, 1 In 3.07
49 Ge 0.1250 0.2500 0.3750  8 In 2.95-3.25
50 Ge 0.1250 0.3750 0.7500  8 In 2.95-3.25
51 Ge 0.2500 0.3750 0.1250  8 In 2.95-3.25
52 Ge 0.2500 0.8750 0.6250  8 In 2.95-3.25
53 Ge 0.3750 0.1250 0.2500  8 In 2.95-3.25
54 Ge 0.3750 0.7500 0.1250  8 In 2.95-3.25
55 Ge 0.6250 0.2500 0.8750  8 In 2.95-3.25
56 Ge 0.6250 0.8750 0.7500  8 In 2.95-3.25
57 Ge 0.7500 0.1250 0.3750  8 In 2.95-3.25
58 Ge 0.7500 0.6250 0.8750  8 In 2.95-3.25
59 Ge 0.8750 0.6250 0.2500  8 In 2.95-3.25
60 Ge 0.8750 0.7500 0.6250  8 In 2.95-3.25
61 Sb 0.0000 0.0000 0.0000  6 In 3.02
62 Sb 0.0000 0.0000 0.5000  6 In 3.02
63 Sb 0.0000 0.5000 0.0000  6 In 3.02
64 Sb 0.0000 0.5000 0.5000  6 In 3.02
65 Sb 0.1250 0.7500 0.8750  4 In 2.89
66 Sb 0.1250 0.8750 0.2500  4 In 2.89
67 Sb 0.2500 0.1250 0.8750  4 In 2.89
68 Sb 0.2500 0.6250 0.3750  4 In 2.89
69 Sb 0.3750 0.2500 0.6250  4 In 2.89
70 Sb 0.3750 0.6250 0.7500  4 In 2.89
71 Sb 0.5000 0.0000 0.0000  6 In 3.02
72 Sb 0.5000 0.0000 0.5000  6 In 3.02
73 Sb 0.5000 0.5000 0.0000  6 In 3.02
74 Sb 0.5000 0.5000 0.5000  6 In 3.02
75 Sb 0.6250 0.3750 0.2500  4 In 2.89
76 Sb 0.6250 0.7500 0.3750  4 In 2.89
77 Sb 0.7500 0.3750 0.6250  4 In 2.89
78 Sb 0.7500 0.8750 0.1250  4 In 2.89
79 Sb 0.8750 0.1250 0.7500  4 In 2.89
80 Sb 0.8750 0.2500 0.1250  4 In 2.89

# 3
Density functional theory data (PBE) for a relaxed Tl3Pb2Au3 crystal.

SG: Cmcm, No. 63
Formation energy in meV/atom: -23
Density of states at the Fermi level in states/eV per cell: 6.066

Lattice parameters (Å, degrees): 7.1788 7.1788 16.4042 90.00 90.00 149.42
Closest atoms and distances in Å follow each position.
Atoms (fractional coordinates):
1 Tl 0.0377 0.9623 0.6318  6 Au 3.19-3.24
2 Tl 0.0377 0.9623 0.8682  6 Au 3.19-3.24
3 Tl 0.3626 0.6374 0.7500  2 Au 3.39, 4 Pb 3.48, 6 Tl 3.64-3.79
4 Tl 0.6374 0.3626 0.2500  2 Au 3.39, 4 Pb 3.48, 6 Tl 3.64-3.79
5 Tl 0.9623 0.0377 0.1318  6 Au 3.19-3.24
6 Tl 0.9623 0.0377 0.3682  6 Au 3.19-3.24
7 Pb 0.2348 0.7652 0.0925  4 Au 2.95-2.97
8 Pb 0.2348 0.7652 0.4075  4 Au 2.95-2.97
9 Pb 0.7652 0.2348 0.5925  4 Au 2.95-2.97
10 Pb 0.7652 0.2348 0.9075  4 Au 2.95-2.97
11 Au 0.3403 0.6597 0.2500  2 Pb 2.97, 4 Tl 3.19
12 Au 0.4030 0.5970 0.5185  1 Au 2.75, 3 Pb 2.95-2.96
13 Au 0.4030 0.5970 0.9815  1 Au 2.75, 3 Pb 2.95-2.96
14 Au 0.5970 0.4030 0.0185  1 Au 2.75, 3 Pb 2.95-2.96
15 Au 0.5970 0.4030 0.4815  1 Au 2.75, 3 Pb 2.95-2.96
16 Au 0.6597 0.3403 0.7500  2 Pb 2.97, 4 Tl 3.19

# 4
Density functional theory data (PBE) for a relaxed SrTl2In crystal.

SG: P2/m, No. 10
Formation energy in meV/atom: -212
Density of states at the Fermi level in states/eV per cell: 1.674

Lattice parameters (Å, degrees): 3.8748 5.3204 6.2456 90.00 96.92 90.00
Closest atoms and distances in Å follow each position.
Atoms (fractional coordinates):
1 Sr 0.0000 0.0000 0.0000  4 Tl 3.44, 2 In 3.47
2 Tl 0.3129 0.5000 0.7331  2 In 3.16, 2 Tl 3.41-3.47, 2 Sr 3.44
3 Tl 0.6871 0.5000 0.2669  2 In 3.16, 2 Tl 3.41-3.47, 2 Sr 3.44
4 In 0.5000 0.0000 0.5000  4 Tl 3.16, 2 Sr 3.47